(1)
# Nb2Sn3Pd2

Nb2Sn3Pd2 after structural relaxation (PBE, the Open Quantum Materials Database).

Output
VASP energy = -5.994 eV/atom
symmetry = R3m
magnetic moment = 0.72 μB/f.u.
calculated volume = 20.69 Å³/atom

Unit cell a=8.355 b=8.355 c=8.355 alpha=31.91 beta=31.91 gamma=31.91
Sites, in units of the cell vectors:
Nb 0.250 0.250 0.250
Nb 0.750 0.750 0.750
Pd 0.501 0.501 0.501
Pd 0.999 0.999 0.999
Sn 0.384 0.384 0.384
Sn 0.626 0.626 0.626
Sn 0.865 0.865 0.865

---

(2)
# TaNbPd4

TaNbPd4 after structural relaxation (PBE, the Open Quantum Materials Database).

Output
ΔH_f (0 K) = -0.44 eV/atom
symmetry = Pmmm
magnetic moment = 0.00 μB/f.u.
calculated volume = 15.75 Å³/atom

Unit cell a=2.858 b=3.902 c=8.473 alpha=90.00 beta=90.00 gamma=90.00
Sites, in units of the cell vectors:
Nb 0.000 0.000 0.000
Pd 0.500 0.500 0.166
Pd 0.000 0.000 0.335
Pd 0.000 0.000 0.665
Pd 0.500 0.500 0.834
Ta 0.500 0.500 0.500

---

(3)
# Ta2NbPd

Ta2NbPd after structural relaxation (PBE, the Open Quantum Materials Database).

Output
ΔH_f (0 K) = -0.04 eV/atom
symmetry = F-43m
magnetic moment = 0.01 μB/f.u.
calculated volume = 17.34 Å³/atom

Unit cell a=4.612 b=4.612 c=4.612 alpha=60.00 beta=60.00 gamma=60.00
Sites, in units of the cell vectors:
Nb 0.750 0.750 0.750
Pd 0.500 0.500 0.500
Ta 0.000 0.000 0.000
Ta 0.250 0.250 0.250

---

(4)
# NbTcPd2

NbTcPd2 after structural relaxation (PBE, the Open Quantum Materials Database).

Output
ΔH_f (0 K) = 0.00 eV/atom
symmetry = F-43m
magnetic moment = 0.02 μB/f.u.
calculated volume = 15.72 Å³/atom

Unit cell a=4.463 b=4.463 c=4.463 alpha=60.00 beta=60.00 gamma=60.00
Sites, in units of the cell vectors:
Nb 0.750 0.750 0.750
Pd 0.000 0.000 0.000
Pd 0.250 0.250 0.250
Tc 0.500 0.500 0.500